An optimized crystal structure of CaLuTlCu. Source: Alexandria via LeMat-Bulk, functional PBE.

- ΔH_f (0 K) (eV/f.u.) = -0.823
- VASP energy (eV for the cell shown) = -55.23

a = 7.2961 Å, b = 7.2961 Å, c = 7.2961 Å
α = 90.00°, β = 90.00°, γ = 90.00°
With the nearest neighbours (Å) after each atom.
Space group F-43m (No. 216)
Symmetry-distinct sites (fractional):
Ca1 0.0000 0.0000 0.0000  4 Tl 3.16, 4 Cu 3.16
Lu1 0.0000 0.0000 0.5000  4 Cu 3.16, 4 Tl 3.16
Tl1 0.2500 0.2500 0.7500  4 Ca 3.16, 4 Lu 3.16
Cu1 0.2500 0.2500 0.2500  4 Ca 3.16, 4 Lu 3.16

=====

An optimized crystal structure of CaLuZnCu. Source: Alexandria via LeMat-Bulk, functional PBE.

- ΔH_f (0 K) (eV/f.u.) = -0.753
- VASP energy (eV for the cell shown) = -50.58

a = 7.0236 Å, b = 7.0236 Å, c = 7.0236 Å
α = 90.00°, β = 90.00°, γ = 90.00°
With the nearest neighbours (Å) after each atom.
Space group F-43m (No. 216)
Symmetry-distinct sites (fractional):
Ca1 0.0000 0.0000 0.0000  4 Cu 3.04, 4 Zn 3.04
Lu1 0.0000 0.0000 0.5000  4 Cu 3.04, 4 Zn 3.04
Zn1 0.2500 0.2500 0.2500  4 Ca 3.04, 4 Lu 3.04
Cu1 0.2500 0.2500 0.7500  4 Ca 3.04, 4 Lu 3.04

=====

An optimized crystal structure of Ca2MgCu. Source: Alexandria via LeMat-Bulk, functional PBE.

- ΔH_f (0 K) (eV/f.u.) = 0.252
- VASP energy (eV for the cell shown) = -37.77

a = 3.4253 Å, b = 37.7158 Å, c = 3.4875 Å
α = 90.00°, β = 90.00°, γ = 90.00°
With the nearest neighbours (Å) after each atom.
Space group Cmcm (No. 63)
Symmetry-distinct sites (fractional):
Ca1 0.0000 0.0463 0.2500  4 Cu 3.07, 1 Mg 3.18, 2 Ca 3.43
Ca2 0.0000 0.2086 0.7500  2 Mg 3.42, 4 Ca 3.43-3.49
Mg1 0.0000 0.1305 0.2500  4 Cu 2.78
Cu1 0.0000 0.4047 0.2500  4 Mg 2.78, 4 Ca 3.07